Entry from Alexandria: a relaxed RbTiHg2Bi crystal (PBE).

Values from the calculation:
* magnetization: 1.28 μB/cell
* uncorrected energy: -13.7 eV for the cell shown
* formation energy: -0.07 eV per atom

Structure (CIF):
```
data_RbTiHg2Bi
_symmetry_space_group_name_H-M 'P 4/m m m'
_symmetry_Int_Tables_number 123
_symmetry_space_group_name_Hall '-P 4 2'
_cell_length_a 5.597
_cell_length_b 5.597
_cell_length_c 5.424
_cell_angle_alpha 90.00
_cell_angle_beta 90.00
_cell_angle_gamma 90.00
loop_
_atom_site_label
_atom_site_type_symbol
_atom_site_fract_x
_atom_site_fract_y
_atom_site_fract_z
Rb1 Rb 0.000 0.000 0.000
Ti1 Ti 0.500 0.500 0.500
Hg1 Hg 0.000 0.500 0.500
Bi1 Bi 0.500 0.500 0.000
```